--- A ---
The following is a PBEsol calculation of an optimized crystal structure of ReRh3, from Alexandria via LeMat-Bulk.

Geometry as POSCAR:
```
ReRh3
1.0
2.701 0.000 0.000
0.000 4.683 0.000
-1.351 -2.341 4.330
Re Rh
1 3
direct
0.000 0.000 0.000
0.747 0.411 0.493
0.500 0.505 0.000
0.253 0.918 0.507
```

Results
SG = No. 44

--- B ---
The following is a PBEsol calculation of an optimized crystal structure of ReRh3, from Alexandria via LeMat-Bulk.

Geometry as POSCAR:
```
ReRh3
1.0
2.700 0.000 0.000
0.000 4.304 0.000
0.000 0.000 4.699
Re Rh
1 3
direct
0.000 0.000 0.004
0.000 0.500 0.330
0.500 0.000 0.501
0.500 0.500 0.831
```

Results
SG = No. 25

Which structure is most stable, and how do the rest compare? From most to least stable: B, A.

--- A ---
The following is a PBEsol calculation of an optimized crystal structure of ReRh3, from Alexandria via LeMat-Bulk.

Geometry as POSCAR:
```
ReRh3
1.0
-0.276 -2.533 -0.825
0.489 -0.864 2.488
-7.482 0.302 1.577
Re Rh
1 3
direct
0.000 0.000 0.000
0.000 0.000 0.500
0.500 0.500 0.247
0.500 0.500 0.753
```

Results
SG = No. 123

--- B ---
The following is a PBEsol calculation of an optimized crystal structure of ReRh3, from Alexandria via LeMat-Bulk.

Geometry as POSCAR:
```
ReRh3
1.0
2.673 0.000 0.000
0.000 3.819 0.000
0.000 0.000 5.361
Re Rh
1 3
direct
0.000 0.000 0.000
0.500 0.500 0.753
0.000 0.000 0.500
0.500 0.500 0.247
```

Results
SG = No. 47

Which structure is most stable, and how do the rest compare? From most to least stable: B, A.

--- A ---
The following is a PBEsol calculation of an optimized crystal structure of ReRh3, from Alexandria via LeMat-Bulk.

Geometry as POSCAR:
```
ReRh3
1.0
-0.532 2.618 -0.158
-4.547 -0.944 -0.319
0.667 -0.961 4.508
Re Rh
1 3
direct
0.000 0.000 0.000
0.748 0.247 0.496
0.500 0.500 0.000
0.252 0.753 0.504
```

Results
SG = No. 12

--- B ---
The following is a PBEsol calculation of an optimized crystal structure of ReRh3, from Alexandria via LeMat-Bulk.

Geometry as POSCAR:
```
ReRh3
1.0
-0.270 -2.362 1.260
2.398 -0.776 -0.942
6.738 5.821 12.357
Re Rh
2 6
direct
0.500 0.000 0.687
0.000 0.500 0.313
0.000 0.500 0.566
0.500 0.000 0.434
0.500 0.000 0.189
0.000 0.500 0.060
0.500 0.000 0.940
0.000 0.500 0.811
```

Results
SG = No. 129

Which structure is most stable, and how do the rest compare? From most to least stable: B, A.

--- A ---
The following is a PBEsol calculation of an optimized crystal structure of ReRh3, from Alexandria via LeMat-Bulk.

Geometry as POSCAR:
```
ReRh3
1.0
-1.390 -2.704 -3.509
4.191 -1.993 -0.124
-1.435 -3.205 3.038
Re Rh
1 3
direct
0.000 0.000 0.000
0.000 0.000 0.500
0.000 0.500 0.000
0.500 0.000 0.000
```

Results
SG = No. 221

--- B ---
The following is a PBEsol calculation of an optimized crystal structure of ReRh3, from Alexandria via LeMat-Bulk.

Geometry as POSCAR:
```
ReRh3
1.0
-2.498 3.409 0.792
-3.068 -1.254 -4.280
-1.205 -2.016 4.877
Re Rh
2 6
direct
0.750 0.667 0.333
0.250 0.333 0.667
0.750 0.168 0.336
0.250 0.832 0.664
0.750 0.168 0.832
0.250 0.832 0.168
0.750 0.664 0.832
0.250 0.336 0.168
```

Results
SG = No. 194

Which structure is most stable, and how do the rest compare? From most to least stable: B, A.

--- A ---
The following is a PBEsol calculation of an optimized crystal structure of ReRh3, from Alexandria via LeMat-Bulk.

Geometry as POSCAR:
```
ReRh3
1.0
-0.837 0.091 2.544
-1.705 -3.369 -0.440
8.997 -4.964 3.136
Re Rh
2 6
direct
0.000 0.500 0.186
0.500 0.000 0.814
0.500 0.000 0.065
0.000 0.500 0.935
0.000 0.500 0.690
0.500 0.000 0.561
0.000 0.500 0.439
0.500 0.000 0.310
```

Results
SG = No. 59

--- B ---
The following is a PBEsol calculation of an optimized crystal structure of ReRh3, from Alexandria via LeMat-Bulk.

Geometry as POSCAR:
```
ReRh3
1.0
3.801 0.000 0.000
0.000 3.801 0.000
-1.900 -1.900 3.784
Re Rh
1 3
direct
0.500 0.500 0.000
0.750 0.250 0.500
0.250 0.750 0.500
0.000 0.000 0.000
```

Results
SG = No. 139

Which structure is most stable, and how do the rest compare? From most to least stable: A, B.

--- A ---
The following is a PBEsol calculation of an optimized crystal structure of Re5Rh3, from Alexandria via LeMat-Bulk.

Geometry as POSCAR:
```
Re5Rh3
1.0
-2.485 -1.047 -0.089
0.667 -1.952 4.317
-2.259 8.702 1.632
Re Rh
5 3
direct
0.877 0.966 0.753
0.751 0.165 0.503
0.123 0.213 0.247
0.000 0.414 0.000
0.249 0.662 0.497
0.374 0.460 0.748
0.626 0.713 0.252
0.500 0.912 0.000
```

Results
SG = No. 44

--- B ---
The following is a PBEsol calculation of an optimized crystal structure of Re5Rh3, from Alexandria via LeMat-Bulk.

Geometry as POSCAR:
```
Re5Rh3
1.0
-0.121 0.080 -4.747
-5.129 -0.128 0.129
2.124 4.672 0.025
Re Rh
5 3
direct
0.959 0.752 0.752
0.288 0.000 0.500
0.455 0.000 0.000
0.959 0.248 0.248
0.288 0.500 0.000
0.796 0.252 0.748
0.460 0.500 0.500
0.796 0.748 0.252
```

Results
SG = No. 35

Which structure is most stable, and how do the rest compare? From most to least stable: B, A.

--- A ---
The following is a PBEsol calculation of an optimized crystal structure of ReRh5, from Alexandria via LeMat-Bulk.

Geometry as POSCAR:
```
ReRh5
1.0
3.797 0.000 0.000
0.000 3.810 0.000
-1.899 0.000 5.652
Re Rh
1 5
direct
0.000 0.000 0.000
0.165 0.500 0.330
0.340 0.000 0.679
0.500 0.500 0.000
0.660 0.000 0.321
0.835 0.500 0.670
```

Results
SG = No. 65

--- B ---
The following is a PBEsol calculation of an optimized crystal structure of ReRh5, from Alexandria via LeMat-Bulk.

Geometry as POSCAR:
```
ReRh5
1.0
-2.452 -0.573 0.979
2.519 -4.448 -0.022
1.603 2.615 5.549
Re Rh
1 5
direct
0.000 0.999 0.999
0.391 0.783 0.275
0.664 0.328 0.329
0.054 0.109 0.612
0.337 0.674 0.673
0.720 0.440 0.945
```

Results
SG = No. 8

Which structure is most stable, and how do the rest compare? From most to least stable: A, B.

--- A ---
The following is a PBEsol calculation of an optimized crystal structure of ReRh5, from Alexandria via LeMat-Bulk.

Geometry as POSCAR:
```
ReRh5
1.0
2.698 0.000 0.000
0.000 4.309 0.000
-1.349 0.000 7.011
Re Rh
1 5
direct
0.999 0.000 0.997
0.223 0.500 0.447
0.335 0.000 0.671
0.556 0.500 0.112
0.664 0.000 0.329
0.889 0.500 0.777
```

Results
SG = No. 38

--- B ---
The following is a PBEsol calculation of an optimized crystal structure of ReRh5, from Alexandria via LeMat-Bulk.

Geometry as POSCAR:
```
ReRh5
1.0
-0.789 -2.320 1.092
1.215 -1.344 -1.978
9.604 -0.371 6.151
Re Rh
1 5
direct
0.000 0.000 0.000
0.500 0.500 0.836
0.000 0.000 0.663
0.500 0.500 0.500
0.000 0.000 0.337
0.500 0.500 0.164
```

Results
SG = No. 123

Which structure is most stable, and how do the rest compare? From most to least stable: A, B.